Below is an optimized crystal structure of LaTaAlMo2, with properties calculated at the PBE level.

Formation enthalpy at 0 K ... 2230 meV per atom
Space group ... P4/mmm
Uncorrected energy ... -31.0 eV for the cell shown
ρ ... 7.91 g cm⁻³

abc: 4.7123 4.7123 5.0947
angles: 90.00 90.00 90.00
Positions (direct):
1 La 0.0000 0.0000 0.0000
2 Ta 0.5000 0.5000 0.5000
3 Al 0.0000 0.0000 0.5000
4 Mo 0.0000 0.5000 0.0000
5 Mo 0.5000 0.0000 0.0000



Below is an optimized crystal structure of LaAlTcMo2, with properties calculated at the PBE level.

Formation enthalpy at 0 K ... 1645 meV per atom
Space group ... P4/mmm
Uncorrected energy ... -32.5 eV for the cell shown
ρ ... 6.78 g cm⁻³

abc: 4.5744 4.5744 5.3341
angles: 90.00 90.00 90.00
Positions (direct):
1 La 0.0000 0.0000 0.0000
2 Al 0.0000 0.0000 0.5000
3 Tc 0.5000 0.5000 0.0000
4 Mo 0.0000 0.5000 0.5000
5 Mo 0.5000 0.0000 0.5000



Below is an optimized crystal structure of LaTi2AlMo, with properties calculated at the PBE level.

Formation enthalpy at 0 K ... 748 meV per atom
Space group ... P4/mmm
Uncorrected energy ... -31.6 eV for the cell shown
ρ ... 5.16 g cm⁻³

abc: 4.8902 4.8902 4.8149
angles: 90.00 90.00 90.00
Positions (direct):
1 La 0.0000 0.0000 0.0000
2 Ti 0.0000 0.5000 0.5000
3 Ti 0.5000 0.0000 0.5000
4 Al 0.5000 0.5000 0.5000
5 Mo 0.5000 0.5000 0.0000



Below is an optimized crystal structure of LaAlMo2W, with properties calculated at the PBE level.

Formation enthalpy at 0 K ... 1262 meV per atom
Space group ... P4/mmm
Uncorrected energy ... -37.0 eV for the cell shown
ρ ... 8.39 g cm⁻³

abc: 4.7371 4.7371 4.7743
angles: 90.00 90.00 90.00
Positions (direct):
1 La 0.0000 0.0000 0.0000
2 Al 0.5000 0.5000 0.5000
3 Mo 0.0000 0.5000 0.5000
4 Mo 0.5000 0.0000 0.5000
5 W 0.5000 0.5000 0.0000



Below is an optimized crystal structure of LaAl2ZnMo, with properties calculated at the PBE level.

Formation enthalpy at 0 K ... 461 meV per atom
Space group ... P4/mmm
Uncorrected energy ... -22.2 eV for the cell shown
ρ ... 5.46 g cm⁻³

abc: 4.6462 4.6462 4.9932
angles: 90.00 90.00 90.00
Positions (direct):
1 La 0.0000 0.0000 0.0000
2 Al 0.0000 0.5000 0.5000
3 Al 0.5000 0.0000 0.5000
4 Zn 0.5000 0.5000 0.5000
5 Mo 0.5000 0.5000 0.0000



Below is an optimized crystal structure of La4AlN, with properties calculated at the PBE level.

Energy above the most stable polymorph in this dataset ... 332 meV per atom
E_form (uncorrected) ... -170 meV/atom
Space group ... P4/mmm
Uncorrected energy ... -32.8 eV for the cell shown
ρ ... 6.08 g cm⁻³

abc: 4.7977 4.7977 7.0846
angles: 90.00 90.00 90.00
Positions (direct):
1 La 0.0000 0.5000 0.2173
2 La 0.0000 0.5000 0.7827
3 La 0.5000 0.0000 0.2173
4 La 0.5000 0.0000 0.7827
5 Al 0.0000 0.0000 0.5000
6 N 0.5000 0.5000 0.0000



Below is an optimized crystal structure of LaAl3N, with properties calculated at the PBE level.

Energy above the most stable polymorph in this dataset ... 0 meV per atom
E_form (uncorrected) ... 139 meV/atom
Space group ... Pm-3m
Uncorrected energy ... -23.8 eV for the cell shown
ρ ... 4.27 g cm⁻³

abc: 4.4967 4.4967 4.4967
angles: 90.00 90.00 90.00
Positions (direct):
1 La 0.0000 0.0000 0.0000
2 Al 0.0000 0.5000 0.5000
3 Al 0.5000 0.0000 0.5000
4 Al 0.5000 0.5000 0.0000
5 N 0.5000 0.5000 0.5000



Below is an optimized crystal structure of LaAl2N, with properties calculated at the PBE level.

E_form (uncorrected) ... -129 meV/atom
Space group ... I-42d
Uncorrected energy ... -85.0 eV for the cell shown
ρ ... 4.17 g cm⁻³

abc: 6.2014 6.2014 8.5686
angles: 90.00 90.00 90.00
Positions (direct):
1 La 0.0000 0.0000 0.0000
2 La 0.0000 0.5000 0.2500
3 La 0.5000 0.0000 0.7500
4 La 0.5000 0.5000 0.5000
5 Al 0.0700 0.2500 0.6250
6 Al 0.2500 0.5700 0.8750
7 Al 0.2500 0.9300 0.3750
8 Al 0.4300 0.2500 0.1250
9 Al 0.5700 0.7500 0.1250
10 Al 0.7500 0.0700 0.3750
11 Al 0.7500 0.4300 0.8750
12 Al 0.9300 0.7500 0.6250
13 N 0.0000 0.0000 0.5000
14 N 0.0000 0.5000 0.7500
15 N 0.5000 0.0000 0.2500
16 N 0.5000 0.5000 0.0000